Here is Sm2B5 at its PBEsol-relaxed geometry from Alexandria via LeMat-Bulk. Energies are from meta-GGA SCAN. Values from VASP.

Geometry as Quantum ESPRESSO input:
```
&SYSTEM
  ibrav = 0, nat = 28, ntyp = 2
/
ATOMIC_SPECIES
Sm 150.36 Sm.upf
B 10.81 B.upf
ATOMIC_POSITIONS crystal
Sm 0.7589 0.1843 0.2423
Sm 0.2411 0.8157 0.7577
Sm 0.7589 0.3157 0.7423
Sm 0.7657 0.8086 0.8683
Sm 0.7657 0.6914 0.3683
Sm 0.2411 0.6843 0.2577
Sm 0.2343 0.3086 0.6317
Sm 0.2343 0.1914 0.1317
B 0.5025 0.6729 0.0399
B 0.4973 0.5388 0.8267
B 0.4975 0.1729 0.4601
B 0.5025 0.8271 0.5399
B 0.5007 0.4101 0.4101
B 0.6835 0.4985 0.0374
B 0.0780 0.5072 0.9304
B 0.3165 0.5015 0.9626
B 0.5027 0.4612 0.1733
B 0.9220 0.0072 0.5696
B 0.9220 0.4928 0.0696
B 0.0780 0.9928 0.4304
B 0.5007 0.0899 0.9101
B 0.4993 0.5899 0.5899
B 0.5027 0.0388 0.6733
B 0.4973 0.9612 0.3267
B 0.3165 0.9985 0.4626
B 0.6835 0.0015 0.5374
B 0.4993 0.9101 0.0899
B 0.4975 0.3271 0.9601
CELL_PARAMETERS angstrom
7.1623 0.0000 0.0023
0.0000 7.1621 0.0000
-1.5023 0.0000 7.0339
```

Magnetization: 0.00 Bohr magnetons per cell
V: 90.2 Å³/f.u.
Total energy: -18.623 eV/atom
Symmetry: P2_1/c, No. 14
Formation energy from the elements: -0.62 eV per atom